# AcIn2Sb2

A relaxed AcIn2Sb2 crystal (PBE-GGA, Alexandria via LeMat-Bulk).

**Total magnetic moment**: 0.00 μB/f.u.
**E_tot**: -40.51 eV per cell
**Calculated volume**: 315 Å³/cell
**Space group**: Cmcm (63)
**DOS(E_F)**: 0.38 states/eV/atom

Lattice parameters (Å, degrees): 15.521 15.521 4.512 90.00 90.00 163.16
Fractional positions:
Ac 0.164 0.836 0.750
Ac 0.836 0.164 0.250
In 0.050 0.950 0.250
In 0.454 0.546 0.250
In 0.546 0.454 0.750
In 0.950 0.050 0.750
Sb 0.250 0.750 0.250
Sb 0.374 0.626 0.750
Sb 0.626 0.374 0.250
Sb 0.750 0.250 0.750

=====

# TaSb4

A relaxed TaSb4 crystal (PBE-GGA, Alexandria via LeMat-Bulk).

**Total magnetic moment**: 0.00 μB/f.u.
**E_tot**: -26.50 eV per cell
**Calculated volume**: 120 Å³/cell
**Space group**: I4/m (87)
**DOS(E_F)**: 0.69 states/eV/atom

Lattice parameters (Å, degrees): 5.486 5.486 5.486 102.42 102.42 124.74
Fractional positions:
Ta 0.000 0.000 0.000
Sb 0.206 0.380 0.585
Sb 0.380 0.794 0.174
Sb 0.620 0.206 0.826
Sb 0.794 0.620 0.415

=====

Which of these has the lowest E_tot? AcIn2Sb2

=====

The highest calculated volume belongs to which entry? AcIn2Sb2

=====

Repeat the second record exactly.
# TaSb4

A relaxed TaSb4 crystal (PBE-GGA, Alexandria via LeMat-Bulk).

**Total magnetic moment**: 0.00 μB/f.u.
**E_tot**: -26.50 eV per cell
**Calculated volume**: 120 Å³/cell
**Space group**: I4/m (87)
**DOS(E_F)**: 0.69 states/eV/atom

Lattice parameters (Å, degrees): 5.486 5.486 5.486 102.42 102.42 124.74
Fractional positions:
Ta 0.000 0.000 0.000
Sb 0.206 0.380 0.585
Sb 0.380 0.794 0.174
Sb 0.620 0.206 0.826
Sb 0.794 0.620 0.415

=====

Which value of DOS(E_F) does entry 2 give? 0.69 states/eV/atom